First-principles (GGA+U) data for a relaxed Zr2CrO crystal, as listed in the Alexandria database.

Output
**E_tot**: -65.02 eV/cell

abc: 5.8926 5.8926 5.8926
angles: 112.39 112.39 103.79
With the nearest neighbours (Å) after each atom.
Fractional positions:
Zr (0.0213, 0.6250, 0.8963)  2 O 2.11
Zr (0.3750, 0.2713, 0.3963)  2 O 2.11
Zr (0.7287, 0.1250, 0.1037)  2 O 2.11
Zr (0.8750, 0.9787, 0.6037)  2 O 2.11
Cr (0.2500, 0.7500, 0.5000)  8 Zr 2.98-3.32
Cr (0.5000, 0.5000, 0.0000)  8 Zr 2.98-3.32
O (0.0000, 0.0000, 0.0000)  4 Zr 2.11
O (0.7500, 0.2500, 0.5000)  4 Zr 2.11